Material: CrNi2Bi
Method: DFT, PBE-GGA
State: relaxed

```
CrNi2Bi
1.0
-1.465 -2.085 -3.011
2.558 -2.904 0.766
-5.256 -6.186 4.256
Bi Ni Cr
2 4 2
direct
0.000 0.000 0.000 Bi
0.750 0.250 0.500 Bi
0.172 0.625 0.250 Ni
0.875 0.828 0.750 Ni
0.578 0.125 0.250 Ni
0.375 0.422 0.750 Ni
0.250 0.750 0.500 Cr
0.500 0.500 0.000 Cr
```

- E_tot (eV per atom) = -5.680
- calculated formation energy (kJ/mol of atoms) = 56.6
- size of the total moment (μB per formula unit) = 3.21
- Fermi-level density of states (states/eV/cell) = 6.133